A plane-wave DFT calculation with PBE+U was carried out for crystalline VP2IO at its relaxed geometry.

```
VP2IO
1.0
4.8581 0.0000 0.0000
0.0000 4.8581 0.0000
0.0000 0.0000 3.7188
V P I O
1 2 1 1
Cartesian
0.0000 0.0000 0.0000
0.0000 2.4290 0.0000
2.4290 0.0000 0.0000
2.4290 2.4290 1.8594
0.0000 0.0000 1.8594
```

Output
- VASP energy (eV/atom) = -4.85
- space-group type = P4/mmm
- energy relative to the lowest polymorph listed for this composition (eV per atom) = 0.000